Record 1
Density functional theory data (GGA-PBE) for an optimized crystal structure of Rb5Mo2Cl12.

Lattice parameters (Å, degrees): 18.0482 7.5948 10.6885 90.00 107.34 90.00
Space group C2/m (No. 12)
Inequivalent atoms, fractional coordinates:
1 Rb 0.0000 0.0000 0.0000 [2 per cell]
2 Rb 0.1935 0.5000 0.3273 [4 per cell]
3 Rb 0.2002 0.5000 0.8789 [4 per cell]
4 Mo 0.0000 0.2492 0.5000 [4 per cell]
5 Cl 0.0021 0.0000 0.6518 [4 per cell]
6 Cl 0.0021 0.5000 0.6538 [4 per cell]
7 Cl 0.1387 0.2543 0.5651 [8 per cell]
8 Cl 0.1505 0.2486 0.0845 [8 per cell]

Summary:
E_form (uncorrected): -1359 meV/atom
crystal system: monoclinic
VASP energy: -148.98 eV/cell
D(E_F): 33.05 states/eV/cell

Record 2
Density functional theory data (GGA-PBE) for an optimized crystal structure of Rb6MoCl12.

Lattice parameters (Å, degrees): 14.5606 14.5606 13.7709 90.00 90.00 120.00
Space group R-3 (No. 148, hexagonal axes)
Inequivalent atoms, fractional coordinates:
1 Rb 0.0095 0.2253 0.1234 [18 per cell]
2 Mo 0.0000 0.0000 0.5000 [3 per cell]
3 Cl 0.0067 0.2229 0.8885 [18 per cell]
4 Cl 0.0128 0.1364 0.4026 [18 per cell]

Summary:
E_form (uncorrected): -1428 meV/atom
crystal system: trigonal
VASP energy: -197.79 eV/cell
D(E_F): 96.71 states/eV/cell

Record 3
Density functional theory data (GGA-PBE) for an optimized crystal structure of Rb3MoCl8.

Lattice parameters (Å, degrees): 7.3455 7.3455 14.2901 90.00 90.00 90.00
Space group I4/mmm (No. 139)
Inequivalent atoms, fractional coordinates:
1 Rb 0.0000 0.0000 0.0000 [2 per cell]
2 Rb 0.0000 0.5000 0.2500 [4 per cell]
3 Mo 0.0000 0.0000 0.5000 [2 per cell]
4 Cl 0.2040 0.2040 0.3953 [16 per cell]

Summary:
E_form (uncorrected): -1138 meV/atom
crystal system: tetragonal
energy above the lowest structure with this stoichiometry: 224 meV per atom
VASP energy: -84.33 eV/cell
D(E_F): 37.34 states/eV/cell

Record 4
Density functional theory data (GGA-PBE) for an optimized crystal structure of Rb4MoCl6.

Lattice parameters (Å, degrees): 18.3129 6.4885 16.7110 90.00 113.22 90.00
Space group Cc (No. 9)
Inequivalent atoms, fractional coordinates:
1 Rb 0.0000 0.2204 0.0000 [4 per cell]
2 Rb 0.1498 0.2547 0.7873 [4 per cell]
3 Rb 0.1838 0.2255 0.5240 [4 per cell]
4 Rb 0.3705 0.2479 0.1003 [4 per cell]
5 Mo 0.3748 0.3038 0.7635 [4 per cell]
6 Cl 0.0408 0.2893 0.5827 [4 per cell]
7 Cl 0.1763 0.2775 0.9890 [4 per cell]
8 Cl 0.2772 0.0234 0.7247 [4 per cell]
9 Cl 0.3413 0.4058 0.8856 [4 per cell]
10 Cl 0.3871 0.2498 0.6215 [4 per cell]
11 Cl 0.4859 0.4501 0.3052 [4 per cell]

Summary:
E_form (uncorrected): -1456 meV/atom
crystal system: monoclinic
VASP energy: -167.20 eV/cell

Record 5
Density functional theory data (GGA-PBE) for an optimized crystal structure of RbMoCl2.

Lattice parameters (Å, degrees): 6.0735 6.0735 13.4019 90.00 90.00 90.00
Space group I-42d (No. 122)
Inequivalent atoms, fractional coordinates:
1 Rb 0.0000 0.0000 0.0000 [4 per cell]
2 Mo 0.0000 0.0000 0.5000 [4 per cell]
3 Cl 0.1176 0.2500 0.6250 [8 per cell]

Summary:
E_form (uncorrected): -162 meV/atom
crystal system: tetragonal
energy above the lowest structure with this stoichiometry: 19 meV per atom
VASP energy: -64.56 eV/cell
D(E_F): 16.68 states/eV/cell

Record 6
Density functional theory data (GGA-PBE) for an optimized crystal structure of RbMoCl2.

Lattice parameters (Å, degrees): 3.3614 3.3614 28.5807 90.00 90.00 120.00
Space group R-3m (No. 166, hexagonal axes)
Inequivalent atoms, fractional coordinates:
1 Rb 0.0000 0.0000 0.0000 [3 per cell]
2 Mo 0.0000 0.0000 0.5000 [3 per cell]
3 Cl 0.0000 0.0000 0.4173 [6 per cell]

Summary:
E_form (uncorrected): -180 meV/atom
crystal system: trigonal
energy above the lowest structure with this stoichiometry: 0 meV per atom
VASP energy: -48.64 eV/cell
D(E_F): 9.63 states/eV/cell